Entry 1:
The following is a PBE-GGA calculation of an optimized crystal structure of CaThGaAg, from the Alexandria database. Values from VASP.

Cell and atoms, written as Quantum ESPRESSO input:
```
&SYSTEM
  ibrav = 0, nat = 4, ntyp = 4
/
ATOMIC_SPECIES
Ga 69.72 Ga.upf
Ca 40.08 Ca.upf
Ag 107.87 Ag.upf
Th 232.04 Th.upf
CELL_PARAMETERS angstrom
5.240 0.000 0.000
2.620 4.538 0.000
2.620 1.513 4.279
ATOMIC_POSITIONS angstrom
Ga 7.860 4.538 3.209
Ca 5.240 3.025 2.139
Ag 2.620 1.513 1.070
Th 0.000 0.000 0.000
```

Values from the calculation:
Its space group is F-43m (216).

---

Entry 2:
The following is a PBE-GGA calculation of an optimized crystal structure of CaTlGaAg2, from the Alexandria database. Values from VASP.

Cell and atoms, written as Quantum ESPRESSO input:
```
&SYSTEM
  ibrav = 0, nat = 5, ntyp = 4
/
ATOMIC_SPECIES
Tl 204.38 Tl.upf
Ca 40.08 Ca.upf
Ga 69.72 Ga.upf
Ag 107.87 Ag.upf
CELL_PARAMETERS angstrom
-4.011 -2.349 -2.529
3.504 -1.053 -4.580
1.381 -4.645 2.124
ATOMIC_POSITIONS angstrom
Tl 0.000 0.000 0.000
Ca 1.752 -0.526 -2.290
Ga 0.437 -4.023 -2.492
Ag 0.691 -2.322 1.062
Ag -2.005 -1.175 -1.264
```

Values from the calculation:
Its space group is P4/mmm (123).

---

Entry 3:
The following is a PBE-GGA calculation of an optimized crystal structure of CaTmGaAg, from the Alexandria database. Values from VASP.

Cell and atoms, written as Quantum ESPRESSO input:
```
&SYSTEM
  ibrav = 0, nat = 4, ntyp = 4
/
ATOMIC_SPECIES
Ca 40.08 Ca.upf
Tm 168.93 Tm.upf
Ga 69.72 Ga.upf
Ag 107.87 Ag.upf
CELL_PARAMETERS angstrom
3.617 0.000 0.000
0.000 3.617 0.000
0.000 0.000 7.285
ATOMIC_POSITIONS angstrom
Ca 0.000 0.000 6.216
Tm 0.000 0.000 2.614
Ga 1.809 1.809 4.271
Ag 1.809 1.809 0.944
```

Values from the calculation:
Its space group is P4mm (99). The calculation puts the polymorph energy (0 for the lowest one) at 0.0 meV per atom.

---

Entry 4:
The following is a PBE-GGA calculation of an optimized crystal structure of CaTmGaAg, from the Alexandria database. Values from VASP.

Cell and atoms, written as Quantum ESPRESSO input:
```
&SYSTEM
  ibrav = 0, nat = 4, ntyp = 4
/
ATOMIC_SPECIES
Ca 40.08 Ca.upf
Tm 168.93 Tm.upf
Ga 69.72 Ga.upf
Ag 107.87 Ag.upf
CELL_PARAMETERS angstrom
-1.654 -0.862 4.755
0.471 -4.648 2.065
3.357 -0.793 3.767
ATOMIC_POSITIONS angstrom
Ca 1.087 -3.152 5.294
Tm 0.000 0.000 0.000
Ga 0.543 -1.576 2.647
Ag 1.630 -4.728 7.940
```

Values from the calculation:
Its space group is F-43m (216). The calculation puts the polymorph energy (0 for the lowest one) at 21.2 meV per atom.

---

Entry 5:
The following is a PBE-GGA calculation of an optimized crystal structure of Ca2GaAgW, from the Alexandria database. Values from VASP.

Cell and atoms, written as Quantum ESPRESSO input:
```
&SYSTEM
  ibrav = 0, nat = 5, ntyp = 4
/
ATOMIC_SPECIES
Ga 69.72 Ga.upf
Ca 40.08 Ca.upf
Ag 107.87 Ag.upf
W 183.84 W.upf
CELL_PARAMETERS angstrom
-0.688 5.119 -2.040
-2.731 1.123 3.739
4.498 1.709 2.772
ATOMIC_POSITIONS angstrom
Ga -1.366 0.562 1.870
Ca 2.249 0.855 1.386
Ca -0.344 2.560 -1.020
Ag 0.000 0.000 0.000
W 0.540 3.976 2.236
```

Values from the calculation:
Its space group is P4/mmm (123).

---

Entry 6:
The following is a PBE-GGA calculation of an optimized crystal structure of CaZn2GaAg5, from the Alexandria database. Values from VASP.

Cell and atoms, written as Quantum ESPRESSO input:
```
&SYSTEM
  ibrav = 0, nat = 9, ntyp = 4
/
ATOMIC_SPECIES
Ca 40.08 Ca.upf
Zn 65.41 Zn.upf
Ga 69.72 Ga.upf
Ag 107.87 Ag.upf
CELL_PARAMETERS angstrom
-1.772 -0.621 -4.585
4.556 -1.091 -1.613
-1.219 -7.234 1.451
ATOMIC_POSITIONS angstrom
Ca -0.609 -3.617 0.725
Zn 1.201 -1.992 -2.871
Zn 0.365 -6.954 -1.876
Ga 0.000 0.000 0.000
Ag 1.986 -2.281 -0.458
Ag -1.178 -2.046 -1.944
Ag 1.352 -6.044 0.296
Ag -1.812 -5.809 -1.190
Ag 0.783 -4.473 -2.374
```

Values from the calculation:
Its space group is P4/mmm (123).

---

Entry 7:
The following is a PBE-GGA calculation of an optimized crystal structure of CaZnGa2Ag, from the Alexandria database. Values from VASP.

Cell and atoms, written as Quantum ESPRESSO input:
```
&SYSTEM
  ibrav = 0, nat = 5, ntyp = 4
/
ATOMIC_SPECIES
Ca 40.08 Ca.upf
Zn 65.41 Zn.upf
Ga 69.72 Ga.upf
Ag 107.87 Ag.upf
CELL_PARAMETERS angstrom
4.327 0.000 0.000
0.000 4.327 0.000
-2.164 -2.164 5.433
ATOMIC_POSITIONS angstrom
Ca 0.000 0.000 0.000
Zn 0.000 2.164 2.717
Ga 2.164 2.164 1.253
Ga 0.000 0.000 4.180
Ag 2.164 0.000 2.717
```

Values from the calculation:
Its space group is I-4m2 (119).

---

Entry 8:
The following is a PBE-GGA calculation of an optimized crystal structure of CaZn4Ga2Ag, from the Alexandria database. Values from VASP.

Cell and atoms, written as Quantum ESPRESSO input:
```
&SYSTEM
  ibrav = 0, nat = 8, ntyp = 4
/
ATOMIC_SPECIES
Ca 40.08 Ca.upf
Zn 65.41 Zn.upf
Ga 69.72 Ga.upf
Ag 107.87 Ag.upf
CELL_PARAMETERS angstrom
-1.695 -1.654 3.650
-2.788 -3.334 -0.212
5.490 -7.541 1.725
ATOMIC_POSITIONS angstrom
Ca 0.000 0.000 0.000
Zn 2.566 -8.001 2.753
Zn -1.813 -7.236 3.660
Zn 2.820 -5.294 1.504
Zn -1.559 -4.529 2.411
Ga 0.869 -9.492 3.882
Ga 0.139 -3.037 1.281
Ag 0.504 -6.265 2.582
```

Values from the calculation:
Its space group is R-3m (166).

---

Entry 9:
The following is a PBE-GGA calculation of an optimized crystal structure of Ca2ZnGa4Ag3, from the Alexandria database. Values from VASP.

Cell and atoms, written as Quantum ESPRESSO input:
```
&SYSTEM
  ibrav = 0, nat = 10, ntyp = 4
/
ATOMIC_SPECIES
Ca 40.08 Ca.upf
Zn 65.41 Zn.upf
Ga 69.72 Ga.upf
Ag 107.87 Ag.upf
CELL_PARAMETERS angstrom
-1.236 3.921 -1.088
-2.081 -1.586 -3.353
-9.452 -1.195 6.429
ATOMIC_POSITIONS angstrom
Ca -3.029 1.656 1.096
Ca -8.081 -1.683 3.112
Zn -6.384 0.570 0.994
Ga -1.658 1.168 -2.221
Ga 0.000 0.000 0.000
Ga -6.614 1.203 3.535
Ga -4.496 -1.230 0.674
Ag -4.726 -0.597 3.215
Ag -8.717 0.937 4.965
Ag -2.393 -0.964 -0.756
```

Values from the calculation:
Its space group is P-4m2 (115).

---

Entry 10:
The following is a PBE-GGA calculation of an optimized crystal structure of Ca2Zn4GaAg3, from the Alexandria database. Values from VASP.

Cell and atoms, written as Quantum ESPRESSO input:
```
&SYSTEM
  ibrav = 0, nat = 10, ntyp = 4
/
ATOMIC_SPECIES
Ca 40.08 Ca.upf
Zn 65.41 Zn.upf
Ga 69.72 Ga.upf
Ag 107.87 Ag.upf
CELL_PARAMETERS angstrom
4.135 0.000 0.000
0.000 4.135 0.000
0.000 0.000 12.015
ATOMIC_POSITIONS angstrom
Ca 2.067 0.000 3.070
Ca 0.000 2.067 8.945
Zn 2.067 2.067 0.000
Zn 0.000 0.000 0.000
Zn 2.067 0.000 7.698
Zn 0.000 2.067 4.317
Ga 2.067 2.067 6.008
Ag 0.000 0.000 6.008
Ag 2.067 0.000 10.285
Ag 0.000 2.067 1.730
```

Values from the calculation:
Its space group is P-4m2 (115).

---

Entry 11:
The following is a PBE-GGA calculation of an optimized crystal structure of CaZn3GaAg, from the Alexandria database. Values from VASP.

Cell and atoms, written as Quantum ESPRESSO input:
```
&SYSTEM
  ibrav = 0, nat = 12, ntyp = 4
/
ATOMIC_SPECIES
Ca 40.08 Ca.upf
Zn 65.41 Zn.upf
Ga 69.72 Ga.upf
Ag 107.87 Ag.upf
CELL_PARAMETERS angstrom
5.730 0.000 0.000
0.000 6.354 0.000
0.000 -3.177 6.572
ATOMIC_POSITIONS angstrom
Ca 4.298 0.000 3.853
Ca 1.433 3.177 2.718
Zn 1.433 0.000 1.790
Zn 0.000 1.932 0.000
Zn 2.865 4.422 0.000
Zn 2.865 1.932 0.000
Zn 0.000 4.422 0.000
Zn 4.298 3.177 4.782
Ga 1.433 3.177 5.614
Ga 4.298 0.000 0.958
Ag 1.433 0.000 4.473
Ag 4.298 3.177 2.098
```

Values from the calculation:
Its space group is Cmcm (63).

---

Entry 12:
The following is a PBE-GGA calculation of an optimized crystal structure of Ca2ZnGaAg6, from the Alexandria database. Values from VASP.

Cell and atoms, written as Quantum ESPRESSO input:
```
&SYSTEM
  ibrav = 0, nat = 10, ntyp = 4
/
ATOMIC_SPECIES
Ca 40.08 Ca.upf
Zn 65.41 Zn.upf
Ga 69.72 Ga.upf
Ag 107.87 Ag.upf
CELL_PARAMETERS angstrom
6.965 0.000 0.000
0.000 6.965 0.000
3.483 3.482 4.925
ATOMIC_POSITIONS angstrom
Ca 3.483 6.965 2.463
Ca 6.965 3.482 2.463
Zn 3.483 3.482 0.000
Ga 0.000 0.000 0.000
Ag 1.747 5.218 0.000
Ag 5.219 5.218 0.000
Ag 3.483 3.482 2.455
Ag 5.218 1.747 0.000
Ag 1.747 1.747 0.000
Ag 6.966 6.965 2.471
```

Values from the calculation:
Its space group is Fm-3m (225).

---

Entry 13:
The following is a PBE-GGA calculation of an optimized crystal structure of CaZnGa2Ag5, from the Alexandria database. Values from VASP.

Cell and atoms, written as Quantum ESPRESSO input:
```
&SYSTEM
  ibrav = 0, nat = 9, ntyp = 4
/
ATOMIC_SPECIES
Ca 40.08 Ca.upf
Zn 65.41 Zn.upf
Ga 69.72 Ga.upf
Ag 107.87 Ag.upf
CELL_PARAMETERS angstrom
-3.818 2.811 1.374
0.408 -1.702 4.615
4.783 5.679 1.672
ATOMIC_POSITIONS angstrom
Ca 2.392 2.840 0.836
Zn 0.000 0.000 0.000
Ga -0.952 1.448 3.258
Ga 2.326 5.340 4.403
Ag 1.421 0.594 2.733
Ag -0.692 2.850 1.112
Ag 3.770 3.384 3.554
Ag 1.658 5.640 1.933
Ag 0.687 3.394 3.830
```

Values from the calculation:
Its space group is P4/mmm (123).

---

Entry 14:
The following is a PBE-GGA calculation of an optimized crystal structure of Ca3ZnGa2Ag9, from the Alexandria database. Values from VASP.

Cell and atoms, written as Quantum ESPRESSO input:
```
&SYSTEM
  ibrav = 0, nat = 15, ntyp = 4
/
ATOMIC_SPECIES
Ca 40.08 Ca.upf
Zn 65.41 Zn.upf
Ga 69.72 Ga.upf
Ag 107.87 Ag.upf
CELL_PARAMETERS angstrom
6.838 0.000 0.000
-3.419 5.922 0.000
0.000 0.000 8.852
ATOMIC_POSITIONS angstrom
Ca 0.000 3.948 5.739
Ca 0.000 0.000 0.000
Ca 3.419 1.974 3.113
Zn 0.000 0.000 4.426
Ga 0.000 3.948 1.641
Ga 3.419 1.974 7.211
Ag 5.387 0.838 6.297
Ag 3.419 4.246 6.297
Ag 1.451 0.838 6.297
Ag 1.968 5.084 2.556
Ag 0.000 1.676 2.556
Ag -1.968 5.084 2.556
Ag 3.419 0.000 0.000
Ag -1.710 2.961 0.000
Ag 1.710 2.961 0.000
```

Values from the calculation:
Its space group is P-3m1 (164).

---

Entry 15:
The following is a PBE-GGA calculation of an optimized crystal structure of CaZnGaAg2, from the Alexandria database. Values from VASP.

Cell and atoms, written as Quantum ESPRESSO input:
```
&SYSTEM
  ibrav = 0, nat = 5, ntyp = 4
/
ATOMIC_SPECIES
Ca 40.08 Ca.upf
Zn 65.41 Zn.upf
Ga 69.72 Ga.upf
Ag 107.87 Ag.upf
CELL_PARAMETERS angstrom
4.000 0.000 0.000
0.000 4.415 0.000
-2.000 -2.208 5.955
ATOMIC_POSITIONS angstrom
Ca 0.000 0.000 5.237
Zn 2.000 2.208 3.941
Ga 0.000 2.208 2.185
Ag 2.000 0.000 2.525
Ag 0.000 0.000 0.550
```

Values from the calculation:
Its space group is Imm2 (44).

---

Entry 16:
The following is a PBE-GGA calculation of an optimized crystal structure of CaZn2Ga2Ag, from the Alexandria database. Values from VASP.

Cell and atoms, written as Quantum ESPRESSO input:
```
&SYSTEM
  ibrav = 0, nat = 6, ntyp = 4
/
ATOMIC_SPECIES
Ca 40.08 Ca.upf
Zn 65.41 Zn.upf
Ga 69.72 Ga.upf
Ag 107.87 Ag.upf
CELL_PARAMETERS angstrom
-3.482 2.188 -1.481
-0.487 -4.008 1.675
-0.967 2.789 6.393
ATOMIC_POSITIONS angstrom
Ca 0.000 0.000 0.000
Zn -2.160 0.004 5.085
Zn -2.776 0.965 1.502
Ga -1.753 -1.172 2.388
Ga -3.184 2.141 4.198
Ag -0.483 1.394 3.196
```

Values from the calculation:
Its space group is P-3m1 (164).

---

Entry 17:
The following is a PBE-GGA calculation of an optimized crystal structure of Ca3ZnGa2Ag6, from the Alexandria database. Values from VASP.

Cell and atoms, written as Quantum ESPRESSO input:
```
&SYSTEM
  ibrav = 0, nat = 12, ntyp = 4
/
ATOMIC_SPECIES
Ca 40.08 Ca.upf
Zn 65.41 Zn.upf
Ga 69.72 Ga.upf
Ag 107.87 Ag.upf
CELL_PARAMETERS angstrom
-4.574 3.298 -1.543
-0.158 -5.786 -0.822
-3.559 -1.075 8.252
ATOMIC_POSITIONS angstrom
Ca -3.762 -3.403 3.880
Ca -4.530 -0.161 2.006
Ca 0.000 0.000 0.000
Zn -1.780 -0.538 4.126
Ga -6.640 -0.799 6.898
Ga -1.652 -2.765 -1.011
Ag -4.112 -2.922 0.567
Ag -1.815 -1.714 1.716
Ag -1.891 -4.523 1.317
Ag -6.477 -1.850 4.171
Ag -4.180 -0.642 5.319
Ag -6.400 0.959 4.570
```

Values from the calculation:
Its space group is P-3m1 (164).

---

Entry 18:
The following is a PBE-GGA calculation of an optimized crystal structure of CaZnGa3Ag, from the Alexandria database. Values from VASP.

Cell and atoms, written as Quantum ESPRESSO input:
```
&SYSTEM
  ibrav = 0, nat = 12, ntyp = 4
/
ATOMIC_SPECIES
Ca 40.08 Ca.upf
Zn 65.41 Zn.upf
Ga 69.72 Ga.upf
Ag 107.87 Ag.upf
CELL_PARAMETERS angstrom
-5.940 1.399 -2.463
-2.537 -3.239 4.278
0.941 6.825 1.608
ATOMIC_POSITIONS angstrom
Ca -4.658 4.277 0.476
Ca -2.878 0.708 2.947
Zn -3.022 3.005 4.600
Zn -4.514 1.980 -1.177
Ga -1.568 1.667 0.332
Ga -0.714 -0.912 1.204
Ga -4.793 -1.628 1.842
Ga -3.684 -0.212 -0.027
Ga -1.823 -2.327 3.074
Ga -5.968 3.318 3.091
Ag -1.706 3.869 1.918
Ag -5.829 1.115 1.505
```

Values from the calculation:
Its space group is Cmcm (63).

---

Entry 19:
The following is a PBE-GGA calculation of an optimized crystal structure of CaZrGaAg2, from the Alexandria database. Values from VASP.

Cell and atoms, written as Quantum ESPRESSO input:
```
&SYSTEM
  ibrav = 0, nat = 5, ntyp = 4
/
ATOMIC_SPECIES
Ga 69.72 Ga.upf
Ca 40.08 Ca.upf
Zr 91.22 Zr.upf
Ag 107.87 Ag.upf
CELL_PARAMETERS angstrom
5.077 0.000 0.000
0.000 5.497 0.000
0.000 0.000 5.077
ATOMIC_POSITIONS angstrom
Ga 2.539 2.748 2.539
Ca 0.000 0.000 0.000
Zr 0.000 2.748 0.000
Ag 0.000 0.000 2.539
Ag 2.539 0.000 0.000
```

Values from the calculation:
Its space group is P4/mmm (123). The calculation puts the polymorph energy (0 for the lowest one) at 678.4 meV per atom.

---

Entry 20:
The following is a PBE-GGA calculation of an optimized crystal structure of CaZrGaAg2, from the Alexandria database. Values from VASP.

Cell and atoms, written as Quantum ESPRESSO input:
```
&SYSTEM
  ibrav = 0, nat = 5, ntyp = 4
/
ATOMIC_SPECIES
Ga 69.72 Ga.upf
Ca 40.08 Ca.upf
Zr 91.22 Zr.upf
Ag 107.87 Ag.upf
CELL_PARAMETERS angstrom
-2.467 -4.068 0.929
4.606 -2.695 0.432
0.139 0.998 4.741
ATOMIC_POSITIONS angstrom
Ga 0.000 0.000 0.000
Ca 2.303 -1.347 0.216
Zr 1.139 -2.882 3.051
Ag 0.070 0.499 2.371
Ag -1.233 -2.034 0.464
```

Values from the calculation:
Its space group is P4/mmm (123). The calculation puts the polymorph energy (0 for the lowest one) at 0.0 meV per atom.

---

Ordered energy of formation from the pure elements results: -289; 451; -428; -407; 1004; 37; -314; -117; -297; -213; -98; 7; 20; -36; -214; -237; -167; -124; 1216; 537; unit meV per atom.